Computed, not measured: an optimized crystal structure of NdTm2Pu at the GGA-PBE level of DFT.

Summary:
ρ ... 9.83 Mg/m³
Fermi-level density of states ... 11.3 states/eV/cell
Formation energy from the elements ... 105 meV per atom

```
NdTm2Pu
1.0
-0.491 -3.382 -0.850
0.734 -2.528 2.339
-10.614 -1.412 4.458
Nd Tm Pu
1 2 1
Cartesian
-5.167 -3.662 2.966
-8.028 -1.547 3.500
-2.508 -1.835 1.455
0.146 -3.939 0.999
```


Computed, not measured: an optimized crystal structure of TlCd2Hg6 at the GGA-PBE level of DFT.

Summary:
ρ ... 10.87 Mg/m³
Fermi-level density of states ... 3.3 states/eV/cell
Formation energy from the elements ... 20 meV per atom

```
TlCd2Hg6
1.0
-4.614 1.228 -3.981
-9.601 -0.951 0.622
-8.141 5.151 0.812
Hg Tl Cd
6 1 2
Cartesian
-7.892 3.538 -2.311
-8.606 0.557 -2.404
-11.553 1.145 -1.322
-14.463 1.891 -0.236
-10.802 4.283 -1.224
-13.750 4.872 -0.143
-4.614 1.228 -3.981
-7.489 1.785 0.241
-14.866 3.644 -2.788
```


Computed, not measured: an optimized crystal structure of Ba2BeSi at the GGA-PBE level of DFT.

Summary:
ρ ... 4.56 Mg/m³
Fermi-level density of states ... 3.7 states/eV/cell
Formation energy without anion corrections ... -29 meV per atom

```
Ba2BeSi
1.0
6.044 0.008 -0.002
2.001 5.703 0.002
-3.350 -3.803 3.293
Ba Be Si
2 1 1
Cartesian
0.286 0.203 0.000
3.097 -0.655 1.645
3.374 2.395 0.000
1.959 2.820 1.648
```


Computed, not measured: an optimized crystal structure of Nd5Hg2Ir2Au at the GGA-PBE level of DFT.

Summary:
ρ ... 10.36 Mg/m³
Fermi-level density of states ... 16.5 states/eV/cell
Formation energy from the elements ... -536 meV per atom

```
Nd5Hg2Ir2Au
1.0
3.818 0.000 0.000
0.000 11.961 0.000
0.000 0.000 11.961
Au Nd Hg Ir
2 10 4 4
Cartesian
0.000 0.000 0.000
0.000 5.980 5.980
1.909 2.364 1.041
1.909 3.617 7.022
1.909 10.919 2.364
1.909 9.597 10.919
1.909 4.939 3.617
1.909 8.344 4.939
1.909 7.022 8.344
1.909 1.041 9.597
1.909 5.980 0.000
1.909 0.000 5.980
0.000 8.024 2.043
0.000 2.043 3.937
0.000 9.917 8.024
0.000 3.937 9.917
0.000 10.373 4.393
0.000 4.393 1.587
0.000 1.587 7.568
0.000 7.568 10.373
```


Computed, not measured: an optimized crystal structure of Sc3P2Ir2Rh5 at the GGA-PBE level of DFT.

Summary:
ρ ... 9.71 Mg/m³
Fermi-level density of states ... 10.1 states/eV/cell
Formation energy from the elements ... -791 meV per atom

```
Sc3P2Ir2Rh5
1.0
3.840 0.000 0.000
0.000 3.840 0.000
-1.920 -1.920 12.712
Sc Rh Ir P
3 5 2 2
Cartesian
0.000 0.000 0.000
1.920 1.920 8.410
0.000 0.000 4.302
1.920 1.920 0.000
1.920 0.000 10.615
0.000 1.920 2.097
1.920 0.000 2.097
0.000 1.920 10.615
1.920 1.920 5.699
0.000 0.000 7.013
1.920 1.920 3.428
0.000 0.000 9.284
```


Computed, not measured: an optimized crystal structure of In2CoNi at the GGA-PBE level of DFT.

Summary:
ρ ... 9.26 Mg/m³
Fermi-level density of states ... 2.2 states/eV/cell
Formation energy from the elements ... 25 meV per atom

```
In2CoNi
1.0
4.438 0.021 0.013
-0.019 4.438 0.013
-0.008 -0.009 3.161
In Co Ni
2 1 1
Cartesian
2.210 2.230 0.013
0.000 0.000 0.000
-0.014 2.215 1.587
2.215 0.006 1.587
```


Computed, not measured: an optimized crystal structure of Hg2SeI6 at the GGA-PBE level of DFT.

Summary:
ρ ... 4.57 Mg/m³
Formation energy without anion corrections ... -124 meV per atom

```
Hg2SeI6
1.0
-2.165 5.898 7.676
-9.638 -1.037 0.204
-0.309 -6.591 7.103
Se I Hg
2 12 4
Cartesian
-11.011 3.238 6.146
-1.101 -4.968 8.837
-7.631 2.933 5.469
-0.939 -3.355 5.780
-3.955 -0.615 6.834
-11.172 1.626 9.204
-8.211 -6.038 8.585
-4.480 -4.663 9.514
-6.579 3.252 9.532
-3.901 4.308 6.399
-8.157 -1.115 8.149
-5.533 -4.982 5.451
-0.995 0.273 3.909
-11.116 -2.003 11.074
-9.359 1.168 11.083
-2.753 -2.898 3.900
-5.788 1.214 6.293
-6.323 -2.944 8.690
```


Computed, not measured: an optimized crystal structure of Sm2TmRu at the GGA-PBE level of DFT.

Summary:
ρ ... 8.68 Mg/m³
Fermi-level density of states ... 5.3 states/eV/cell
Formation energy from the elements ... -72 meV per atom

```
Sm2TmRu
1.0
3.481 0.000 0.000
0.000 3.481 0.000
0.000 0.000 9.012
Sm Ru Tm
2 1 1
Cartesian
0.000 0.000 1.701
0.000 0.000 7.310
1.740 1.740 0.000
1.740 1.740 4.506
```


Computed, not measured: an optimized crystal structure of Na5Bi3 at the GGA-PBE level of DFT.

Summary:
ρ ... 4.97 Mg/m³
Fermi-level density of states ... 12.3 states/eV/cell
Formation energy from the elements ... -217 meV per atom

```
Na5Bi3
1.0
-3.890 0.521 4.703
-0.942 -8.501 4.152
4.934 2.174 7.830
Bi Na
6 10
Cartesian
-0.282 -3.797 4.177
0.384 -2.009 12.508
-0.281 -0.002 7.747
-2.918 0.391 3.527
0.383 -5.804 8.939
-0.973 0.130 1.176
-2.884 -6.101 10.258
-0.198 -5.353 12.398
1.024 -3.033 7.167
-0.922 -2.773 9.518
0.300 -0.453 4.288
-2.567 -1.866 6.062
2.986 0.295 6.427
-2.175 -5.287 6.765
2.669 -3.940 10.623
2.277 -0.519 9.920
```


Computed, not measured: an optimized crystal structure of ReTe2PPd at the GGA-PBE level of DFT.

Summary:
ρ ... 7.93 Mg/m³
Fermi-level density of states ... 3.1 states/eV/cell
Formation energy without anion corrections ... 1233 meV per atom

```
ReTe2PPd
1.0
5.243 0.000 0.000
0.000 4.411 0.000
0.000 0.000 5.243
P Re Te Pd
1 1 2 1
Cartesian
0.000 0.000 0.000
2.622 2.206 2.622
0.000 0.000 2.622
2.622 0.000 0.000
0.000 2.206 0.000
```


Computed, not measured: an optimized crystal structure of CuNi2Se6 at the GGA-PBE level of DFT.

Summary:
ρ ... 6.07 Mg/m³
Fermi-level density of states ... 3.9 states/eV/cell
Formation energy without anion corrections ... -181 meV per atom

```
CuNi2Se6
1.0
-1.606 -1.583 -2.815
5.040 -2.511 0.848
-11.010 -0.569 6.603
Cu Se Ni
1 6 2
Cartesian
-5.505 -0.285 3.301
-7.826 -2.941 6.120
-3.165 -0.404 2.033
0.250 -1.723 -1.485
-6.422 -2.520 2.771
-1.154 -2.144 1.864
-4.411 -4.260 2.603
-8.616 -2.353 3.929
1.040 -2.311 0.707
```


Computed, not measured: an optimized crystal structure of ReAsPb at the GGA-PBE level of DFT.

Summary:
ρ ... 12.03 Mg/m³
Fermi-level density of states ... 1.7 states/eV/cell
Formation energy from the elements ... 333 meV per atom

```
ReAsPb
1.0
6.854 0.008 0.000
5.393 4.230 0.000
-6.124 -2.119 2.234
Re As Pb
1 1 1
Cartesian
7.890 2.730 0.000
0.570 0.197 0.000
3.787 1.310 0.000
```